(A)
First-principles (PBE) data for crystalline Al3Pd2Rh at its relaxed geometry, as listed in Alexandria via LeMat-Bulk.

**Total magnetization**: 0.0 μB/f.u.
**Fermi-level density of states**: 2.87 states/eV per cell
**Symmetry**: No. 123

Unit cell a=3.0120 b=3.0120 c=9.3987 alpha=90.00 beta=90.00 gamma=90.00
Closest atoms and distances in Å follow each position.
Positions (direct):
Rh: 0.5000 0.5000 0.5000  8 Al 2.61
Al: 0.0000 0.0000 0.0000  8 Pd 2.67
Al: 0.0000 0.0000 0.3392  4 Rh 2.61, 4 Pd 2.65
Al: 0.0000 0.0000 0.6608  4 Rh 2.61, 4 Pd 2.65
Pd: 0.5000 0.5000 0.8289  8 Al 2.65-2.67
Pd: 0.5000 0.5000 0.1711  8 Al 2.65-2.67


(B)
First-principles (PBE) data for crystalline Al3Pd2Rh at its relaxed geometry, as listed in Alexandria via LeMat-Bulk.

**Total magnetization**: 0.0 μB/f.u.
**Fermi-level density of states**: 3.35 states/eV per cell
**Symmetry**: No. 164

Unit cell a=4.3226 b=4.3226 c=5.2772 alpha=90.00 beta=90.00 gamma=120.00
Closest atoms and distances in Å follow each position.
Positions (direct):
Pd: 0.3333 0.6667 0.6673  8 Al 2.60-2.67
Pd: 0.6667 0.3333 0.3327  8 Al 2.60-2.67
Rh: 0.0000 0.0000 0.0000  8 Al 2.64
Al: 0.3333 0.6667 0.1604  5 Pd 2.60-2.67, 3 Rh 2.64
Al: 0.0000 0.0000 0.5000  2 Rh 2.64, 6 Pd 2.65
Al: 0.6667 0.3333 0.8396  5 Pd 2.60-2.67, 3 Rh 2.64


Computed relative energies in units of kJ/mol of atoms: (A) 0.0; (B) 1.5


(A)
First-principles (PBE) data for crystalline Al2PdRu2 at its relaxed geometry, as listed in Alexandria via LeMat-Bulk.

**Total magnetization**: 0.0 μB/f.u.
**Fermi-level density of states**: 10.00 states/eV per cell
**Symmetry**: No. 127

Unit cell a=6.8208 b=6.8208 c=3.0904 alpha=90.00 beta=90.00 gamma=90.00
Closest atoms and distances in Å follow each position.
Positions (direct):
Pd: 0.0000 0.0000 0.0000  4 Al 2.64
Pd: 0.5000 0.5000 0.0000  4 Al 2.64
Ru: 0.8400 0.3400 0.5000  6 Al 2.48-2.56
Ru: 0.3400 0.1600 0.5000  6 Al 2.48-2.56
Ru: 0.1600 0.6600 0.5000  6 Al 2.48-2.56
Ru: 0.6600 0.8400 0.5000  6 Al 2.48-2.56
Al: 0.6384 0.1384 0.0000  6 Ru 2.48-2.56, 2 Pd 2.64, 1 Al 2.67
Al: 0.1384 0.3616 0.0000  6 Ru 2.48-2.56, 2 Pd 2.64, 1 Al 2.67
Al: 0.8616 0.6384 0.0000  6 Ru 2.48-2.56, 2 Pd 2.64, 1 Al 2.67
Al: 0.3616 0.8616 0.0000  6 Ru 2.48-2.56, 2 Pd 2.64, 1 Al 2.67


(B)
First-principles (PBE) data for crystalline Al2PdRu2 at its relaxed geometry, as listed in Alexandria via LeMat-Bulk.

**Total magnetization**: 0.0 μB/f.u.
**Fermi-level density of states**: 13.69 states/eV per cell
**Symmetry**: No. 127

Unit cell a=7.1115 b=7.1115 c=2.9427 alpha=90.00 beta=90.00 gamma=90.00
Closest atoms and distances in Å follow each position.
Positions (direct):
Al: 0.3299 0.1701 0.5000  6 Ru 2.51-2.60
Al: 0.8299 0.3299 0.5000  6 Ru 2.51-2.60
Al: 0.1701 0.6701 0.5000  6 Ru 2.51-2.60
Al: 0.6701 0.8299 0.5000  6 Ru 2.51-2.60
Ru: 0.3719 0.8719 0.0000  6 Al 2.51-2.60, 1 Ru 2.58, 2 Pd 2.80
Ru: 0.8719 0.6281 0.0000  6 Al 2.51-2.60, 1 Ru 2.58, 2 Pd 2.80
Ru: 0.6281 0.1281 0.0000  6 Al 2.51-2.60, 1 Ru 2.58, 2 Pd 2.80
Ru: 0.1281 0.3719 0.0000  6 Al 2.51-2.60, 1 Ru 2.58, 2 Pd 2.80
Pd: 0.5000 0.5000 0.0000  4 Ru 2.80, 2 Pd 2.94, 8 Al 3.02
Pd: 0.0000 0.0000 0.0000  4 Ru 2.80, 2 Pd 2.94, 8 Al 3.02


Computed relative energies in units of kJ/mol of atoms: (A) 0.0; (B) 10.0


(A)
First-principles (PBE) data for crystalline AlPdRu3 at its relaxed geometry, as listed in Alexandria via LeMat-Bulk.

**Total magnetization**: 1.1 μB/f.u.
**Fermi-level density of states**: 7.96 states/eV per cell
**Symmetry**: No. 221

Unit cell a=4.3858 b=4.3858 c=4.3858 alpha=90.00 beta=90.00 gamma=90.00
Closest atoms and distances in Å follow each position.
Positions (direct):
Pd: 0.5000 0.5000 0.5000  12 Ru 3.10
Al: 0.0000 0.0000 0.0000  6 Ru 2.19
Ru: 0.0000 0.5000 0.0000  2 Al 2.19
Ru: 0.5000 0.0000 0.0000  2 Al 2.19
Ru: 0.0000 0.0000 0.5000  2 Al 2.19


(B)
First-principles (PBE) data for crystalline AlPdRu3 at its relaxed geometry, as listed in Alexandria via LeMat-Bulk.

**Total magnetization**: 5.5 μB/f.u.
**Fermi-level density of states**: 5.08 states/eV per cell
**Symmetry**: No. 221

Unit cell a=4.7211 b=4.7211 c=4.7211 alpha=90.00 beta=90.00 gamma=90.00
Closest atoms and distances in Å follow each position.
Positions (direct):
Al: 0.5000 0.5000 0.5000  12 Ru 3.34
Ru: 0.0000 0.5000 0.0000  2 Pd 2.36
Ru: 0.0000 0.0000 0.5000  2 Pd 2.36
Ru: 0.5000 0.0000 0.0000  2 Pd 2.36
Pd: 0.0000 0.0000 0.0000  6 Ru 2.36


Computed relative energies in units of kJ/mol of atoms: (A) 0.0; (B) 62.7